# 1
First-principles (PBE) data for a relaxed structure of Li2OsO4, as listed in Alexandria.

Properties
- energy above the lowest structure with this stoichiometry (meV per atom) = 0.0
- final energy (eV for the cell shown) = -45.058
- energy relative to the elements, uncorrected (meV/atom) = -1453

Unit cell a=5.604 b=5.604 c=4.959 alpha=107.96 beta=107.96 gamma=33.22
Positions (direct):
Li 0.144 0.144 0.035
Li 0.856 0.856 0.965
Os 0.500 0.500 0.500
O 0.055 0.055 0.314
O 0.344 0.344 0.217
O 0.656 0.656 0.783
O 0.945 0.945 0.686



# 2
First-principles (PBE) data for a relaxed structure of Li2OsO5, as listed in Alexandria.

Properties
- energy above the lowest structure with this stoichiometry (meV per atom) = 0.0
- final energy (eV for the cell shown) = -101.458
- energy relative to the elements, uncorrected (meV/atom) = -1360

Unit cell a=5.738 b=5.738 c=8.429 alpha=112.48 beta=112.48 gamma=54.90
Positions (direct):
Li 0.077 0.923 0.500
Li 0.508 0.816 0.889
Li 0.816 0.508 0.389
Li 0.923 0.077 0.000
Os 0.302 0.449 0.181
Os 0.449 0.302 0.681
O 0.006 0.583 0.280
O 0.115 0.288 0.574
O 0.141 0.634 0.011
O 0.237 0.690 0.681
O 0.288 0.115 0.074
O 0.402 0.691 0.374
O 0.583 0.006 0.780
O 0.634 0.141 0.511
O 0.690 0.237 0.181
O 0.691 0.402 0.874



# 3
First-principles (PBE) data for a relaxed structure of Li2OsO5, as listed in Alexandria.

Properties
- energy above the lowest structure with this stoichiometry (meV per atom) = 96.1
- final energy (eV for the cell shown) = -99.920
- energy relative to the elements, uncorrected (meV/atom) = -1264

Unit cell a=5.518 b=5.518 c=10.146 alpha=90.00 beta=90.00 gamma=139.96
Positions (direct):
Li 0.128 0.872 0.558
Li 0.128 0.872 0.942
Li 0.872 0.128 0.058
Li 0.872 0.128 0.442
Os 0.179 0.821 0.250
Os 0.821 0.179 0.750
O 0.051 0.949 0.126
O 0.051 0.949 0.374
O 0.300 0.700 0.115
O 0.300 0.700 0.385
O 0.312 0.688 0.750
O 0.688 0.312 0.250
O 0.700 0.300 0.615
O 0.700 0.300 0.885
O 0.949 0.051 0.626
O 0.949 0.051 0.874